Here is a relaxed Ce2AuO2 crystal from the Alexandria database. Energies are from GGA-PBE.

Summary:
V = 98.9 Å³/f.u.
Energy relative to the elements, uncorrected = -2.46 eV per atom
DOS at the Fermi energy = 10.5 states/eV/f.u.
Calculated total energy = -7.48 eV/atom

CIF file:
```
data_Ce2AuO2
_chemical_formula_sum 'Ce4 Au2 O4'
_cell_length_a 3.974
_cell_length_b 3.974
_cell_length_c 12.519
_cell_angle_alpha 90.00
_cell_angle_beta 90.00
_cell_angle_gamma 90.00
_symmetry_space_group_name_H-M 'I 4/m m m'
_symmetry_Int_Tables_number 139
_symmetry_space_group_name_Hall '-I 4 2'
loop_
_atom_site_label
_atom_site_fract_x
_atom_site_fract_y
_atom_site_fract_z
Ce1 0.000 0.000 0.153
Au1 0.000 0.000 0.500
O1 0.000 0.500 0.250
```


Here is a relaxed Li3Pm4Bi8 crystal from the Alexandria database. Energies are from GGA-PBE.

Summary:
Energy of formation from the pure elements = -633.4 meV per atom
V = 424.8 Å³/f.u.
DOS at the Fermi energy = 6.5 states/eV/f.u.
Calculated total energy = -4.35 eV/atom

CIF file:
```
data_Li3Pm4Bi8
_chemical_formula_sum 'Li3 Pm4 Bi8'
_cell_length_a 4.562
_cell_length_b 4.562
_cell_length_c 20.415
_cell_angle_alpha 90.00
_cell_angle_beta 90.00
_cell_angle_gamma 90.00
_symmetry_space_group_name_H-M 'P -4 m 2'
_symmetry_Int_Tables_number 115
loop_
_symmetry_equiv_pos_as_xyz
'x,y,z'
'y,-x,-z'
'-x,-y,z'
'-y,x,-z'
'-x,y,z'
'-y,-x,-z'
'x,-y,z'
'y,x,-z'
loop_
_atom_site_label
_atom_site_fract_x
_atom_site_fract_y
_atom_site_fract_z
Li1 0.000 0.000 0.000
Li2 0.000 0.000 0.500
Li3 0.500 0.500 0.000
Pm1 0.000 0.500 0.133
Pm2 0.000 0.500 0.615
Bi1 0.000 0.000 0.259
Bi2 0.000 0.500 0.429
Bi3 0.000 0.500 0.914
Bi4 0.500 0.500 0.259
```


Here is a relaxed K2Tl6Pd3 crystal from the Alexandria database. Energies are from GGA-PBE.

Summary:
Energy of formation from the pure elements = -97.3 meV per atom
V = 318.3 Å³/f.u.
DOS at the Fermi energy = 8.2 states/eV/f.u.
Calculated total energy = -3.00 eV/atom

CIF file:
```
data_K2Tl6Pd3
_chemical_formula_sum 'K2 Tl6 Pd3'
_cell_length_a 8.5867
_cell_length_b 8.5867
_cell_length_c 4.9852
_cell_angle_alpha 90.00
_cell_angle_beta 90.00
_cell_angle_gamma 120.00
_symmetry_space_group_name_H-M 'P -6 2 m'
_symmetry_Int_Tables_number 189
_symmetry_space_group_name_Hall 'P -6 -2'
loop_
_atom_site_label
_atom_site_fract_x
_atom_site_fract_y
_atom_site_fract_z
K1 0.3333 0.6667 0.0000
Tl1 0.0000 0.2110 0.0000
Tl2 0.0000 0.6759 0.5000
Pd1 0.0000 0.3514 0.5000
```


Here is a relaxed SbOsN2 crystal from the Alexandria database. Energies are from GGA-PBE.

Summary:
V = 55.9 Å³/f.u.
Energy relative to the elements, uncorrected = 0.68 eV per atom
DOS at the Fermi energy = 2.4 states/eV/f.u.
Calculated total energy = -7.32 eV/atom

CIF file:
```
data_SbOsN2
_chemical_formula_sum 'Sb3 Os3 N6'
_cell_length_a 3.1194
_cell_length_b 3.1194
_cell_length_c 19.9098
_cell_angle_alpha 90.00
_cell_angle_beta 90.00
_cell_angle_gamma 120.00
_symmetry_space_group_name_H-M 'R -3 m'
_symmetry_Int_Tables_number 166
_symmetry_space_group_name_Hall '-R 3 2"'
loop_
_atom_site_label
_atom_site_fract_x
_atom_site_fract_y
_atom_site_fract_z
Sb1 0.0000 0.0000 0.0000
Os1 0.0000 0.0000 0.5000
N1 0.0000 0.0000 0.1140
```


Here is a relaxed La6DyCd2 crystal from the Alexandria database. Energies are from GGA-PBE.

Summary:
Energy of formation from the pure elements = -137.4 meV per atom
V = 301.4 Å³/f.u.
DOS at the Fermi energy = 11.2 states/eV/f.u.
Calculated total energy = -4.14 eV/atom

CIF file:
```
data_La6DyCd2
_chemical_formula_sum 'La12 Dy2 Cd4'
_cell_length_a 13.210
_cell_length_b 3.895
_cell_length_c 12.352
_cell_angle_alpha 90.00
_cell_angle_beta 108.46
_cell_angle_gamma 90.00
_symmetry_space_group_name_H-M 'C 1 2/m 1'
_symmetry_Int_Tables_number 12
loop_
_symmetry_equiv_pos_as_xyz
'x,y,z'
'-x,-y,-z'
'-x,y,-z'
'x,-y,z'
'x+1/2,y+1/2,z'
'-x+1/2,-y+1/2,-z'
'-x+1/2,y+1/2,-z'
'x+1/2,-y+1/2,z'
loop_
_atom_site_label
_atom_site_fract_x
_atom_site_fract_y
_atom_site_fract_z
La1 0.022 0.000 0.337
La2 0.182 0.500 0.877
La3 0.191 0.500 0.592
Dy1 0.000 0.000 0.000
Cd1 0.140 0.500 0.192
```


Here is a relaxed Ba4NiTe2 crystal from the Alexandria database. Energies are from GGA-PBE.

Summary:
V = 289.8 Å³/f.u.
Energy relative to the elements, uncorrected = -0.82 eV per atom
DOS at the Fermi energy = 5.6 states/eV/f.u.
Calculated total energy = -3.65 eV/atom

CIF file:
```
data_Ba4NiTe2
_chemical_formula_sum 'Ba8 Ni2 Te4'
_cell_length_a 5.576
_cell_length_b 5.576
_cell_length_c 18.646
_cell_angle_alpha 90.00
_cell_angle_beta 90.00
_cell_angle_gamma 90.00
_symmetry_space_group_name_H-M 'I 4/m m m'
_symmetry_Int_Tables_number 139
_symmetry_space_group_name_Hall '-I 4 2'
loop_
_atom_site_label
_atom_site_fract_x
_atom_site_fract_y
_atom_site_fract_z
Ba1 0.000 0.000 0.174
Ba2 0.000 0.500 0.000
Ni1 0.000 0.000 0.000
Te1 0.000 0.000 0.362
```


Here is a relaxed BeZnRu4 crystal from the Alexandria database. Energies are from GGA-PBE.

Summary:
Energy of formation from the pure elements = 640.3 meV per atom
V = 90.9 Å³/f.u.
DOS at the Fermi energy = 6.3 states/eV/f.u.
Calculated total energy = -6.38 eV/atom

CIF file:
```
data_BeZnRu4
_chemical_formula_sum 'Be4 Zn4 Ru16'
_cell_length_a 7.138
_cell_length_b 7.138
_cell_length_c 7.138
_cell_angle_alpha 90.00
_cell_angle_beta 90.00
_cell_angle_gamma 90.00
_symmetry_space_group_name_H-M 'F -4 3 m'
_symmetry_Int_Tables_number 216
_symmetry_space_group_name_Hall 'F -4 2 3'
loop_
_atom_site_label
_atom_site_fract_x
_atom_site_fract_y
_atom_site_fract_z
Be1 0.000 0.000 0.000
Zn1 0.250 0.250 0.250
Ru1 0.125 0.125 0.625
```


Here is a relaxed TmRe3Si3 crystal from the Alexandria database. Energies are from GGA-PBE.

Summary:
V = 143.7 Å³/f.u.
Energy relative to the elements, uncorrected = 0.51 eV per atom
DOS at the Fermi energy = 7.4 states/eV/f.u.
Calculated total energy = -7.79 eV/atom

CIF file:
```
data_TmRe3Si3
_chemical_formula_sum 'Tm2 Re6 Si6'
_cell_length_a 6.600
_cell_length_b 6.600
_cell_length_c 6.600
_cell_angle_alpha 90.00
_cell_angle_beta 90.00
_cell_angle_gamma 90.00
_symmetry_space_group_name_H-M 'P m -3 n'
_symmetry_Int_Tables_number 223
_symmetry_space_group_name_Hall '-P 4n 2 3'
loop_
_atom_site_label
_atom_site_fract_x
_atom_site_fract_y
_atom_site_fract_z
Tm1 0.000 0.000 0.000
Re1 0.000 0.250 0.500
Si1 0.000 0.500 0.250
```


Here is a relaxed Rb3SnAu crystal from the Alexandria database. Energies are from GGA-PBE.

Summary:
Energy of formation from the pure elements = 41.9 meV per atom
V = 276.2 Å³/f.u.
Energy relative to the lowest polymorph listed for this composition = 158 meV/atom
DOS at the Fermi energy = 5.0 states/eV/f.u.
Calculated total energy = -1.99 eV/atom

CIF file:
```
data_Rb3SnAu
_chemical_formula_sum 'Rb3 Sn1 Au1'
_cell_length_a 6.512
_cell_length_b 6.512
_cell_length_c 6.512
_cell_angle_alpha 90.00
_cell_angle_beta 90.00
_cell_angle_gamma 90.00
_symmetry_space_group_name_H-M 'P m -3 m'
_symmetry_Int_Tables_number 221
_symmetry_space_group_name_Hall '-P 4 2 3'
loop_
_atom_site_label
_atom_site_fract_x
_atom_site_fract_y
_atom_site_fract_z
Rb1 0.000 0.000 0.500
Sn1 0.500 0.500 0.500
Au1 0.000 0.000 0.000
```


Here is a relaxed TmPuMnFe crystal from the Alexandria database. Energies are from GGA-PBE.

Summary:
Energy of formation from the pure elements = 59.4 meV per atom
V = 73.6 Å³/f.u.
DOS at the Fermi energy = 5.7 states/eV/f.u.
Calculated total energy = -9.05 eV/atom

CIF file:
```
data_TmPuMnFe
_chemical_formula_sum 'Tm4 Pu4 Mn4 Fe4'
_cell_length_a 6.654
_cell_length_b 6.654
_cell_length_c 6.654
_cell_angle_alpha 90.00
_cell_angle_beta 90.00
_cell_angle_gamma 90.00
_symmetry_space_group_name_H-M 'F -4 3 m'
_symmetry_Int_Tables_number 216
_symmetry_space_group_name_Hall 'F -4 2 3'
loop_
_atom_site_label
_atom_site_fract_x
_atom_site_fract_y
_atom_site_fract_z
Tm1 0.000 0.000 0.000
Pu1 0.000 0.000 0.500
Mn1 0.250 0.250 0.750
Fe1 0.250 0.250 0.250
```


Q: Which of these has the lowest calculated total energy?
A: TmPuMnFe


Q: Which of these has the highest DOS at the Fermi energy?
A: La6DyCd2


Q: What is the formula in the fourth record?
A: SbOsN2